1.
# MnIn2Au8 | Alexandria via LeMat-Bulk | PBE | optimized geometry
data_MnIn2Au8
_chemical_formula_sum 'Mn2 In4 Au16'
_symmetry_space_group_name_H-M 'C 1 2/m 1'
_symmetry_Int_Tables_number 12
_symmetry_space_group_name_Hall '-C 2y'
_cell_length_a 15.170
_cell_length_b 4.246
_cell_length_c 6.484
_cell_angle_alpha 90.00
_cell_angle_beta 102.69
_cell_angle_gamma 90.00
loop_
_atom_site_label
_atom_site_fract_x
_atom_site_fract_y
_atom_site_fract_z
Mn1 0.000 0.000 0.000
In1 0.145 0.500 0.188
Au1 0.038 0.500 0.743
Au2 0.088 0.000 0.446
Au3 0.170 0.000 0.903
Au4 0.225 0.500 0.641
# Formation energy from the elements in eV/atom: -0.072
# ρ in g/cm³: 15.16
# Spin magnetization in μB per formula unit: 4.20



2.
# MnInAu4 | Alexandria via LeMat-Bulk | PBE | optimized geometry
data_MnInAu4
_chemical_formula_sum 'Mn2 In2 Au8'
_symmetry_space_group_name_H-M 'P 1 21/c 1'
_symmetry_Int_Tables_number 14
_symmetry_space_group_name_Hall '-P 2ybc'
_cell_length_a 6.122
_cell_length_b 7.775
_cell_length_c 4.938
_cell_angle_alpha 90.00
_cell_angle_beta 104.78
_cell_angle_gamma 90.00
loop_
_atom_site_label
_atom_site_fract_x
_atom_site_fract_y
_atom_site_fract_z
Mn1 0.000 0.000 0.000
In1 0.500 0.000 0.000
Au1 0.150 0.161 0.554
Au2 0.325 0.659 0.916
# Formation energy from the elements in eV/atom: -0.039
# ρ in g/cm³: 13.99
# Spin magnetization in μB per formula unit: 4.24



3.
# MnInAu14 | Alexandria via LeMat-Bulk | PBE | optimized geometry
data_MnInAu14
_chemical_formula_sum 'Mn2 In2 Au28'
_symmetry_space_group_name_H-M 'A m m 2'
_symmetry_Int_Tables_number 38
_symmetry_space_group_name_Hall 'A 2 -2'
_cell_length_a 9.488
_cell_length_b 6.012
_cell_length_c 10.177
_cell_angle_alpha 90.00
_cell_angle_beta 90.00
_cell_angle_gamma 90.00
loop_
_atom_site_label
_atom_site_fract_x
_atom_site_fract_y
_atom_site_fract_z
Mn1 0.000 0.000 0.000
In1 0.000 0.000 0.503
Au1 0.000 0.248 0.252
Au2 0.246 0.245 0.080
Au3 0.247 0.000 0.832
Au4 0.253 0.000 0.332
Au5 0.500 0.000 0.162
Au6 0.500 0.000 0.661
Au7 0.500 0.249 0.913
# Formation energy from the elements in eV/atom: -0.011
# ρ in g/cm³: 16.75
# Spin magnetization in μB per formula unit: 3.83



4.
# Mn2InAu8 | Alexandria via LeMat-Bulk | PBE | optimized geometry
data_Mn2InAu8
_chemical_formula_sum 'Mn4 In2 Au16'
_symmetry_space_group_name_H-M 'C 1 2/m 1'
_symmetry_Int_Tables_number 12
_symmetry_space_group_name_Hall '-C 2y'
_cell_length_a 14.713
_cell_length_b 4.210
_cell_length_c 6.703
_cell_angle_alpha 90.00
_cell_angle_beta 108.54
_cell_angle_gamma 90.00
loop_
_atom_site_label
_atom_site_fract_x
_atom_site_fract_y
_atom_site_fract_z
Mn1 0.223 0.000 0.147
In1 0.000 0.500 0.500
Au1 0.045 0.000 0.226
Au2 0.102 0.500 0.960
Au3 0.148 0.000 0.708
Au4 0.182 0.500 0.413
# Formation energy from the elements in eV/atom: -0.081
# ρ in g/cm³: 15.19
# Spin magnetization in μB per formula unit: 8.44



- The lowest spin magnetization belongs to which entry?
  MnInAu14



- Which of these has the highest spin magnetization?
  Mn2InAu8